[1]
An optimized crystal structure of SrIrPb2, computed with PBE.

POSCAR file:
```
SrIrPb2
1.0
4.199 0.000 0.000
0.000 4.794 0.000
-2.083 0.000 5.913
Sr Ir Pb
1 1 2
direct
0.000 0.000 0.000
0.604 0.500 0.211
0.281 0.500 0.565
0.719 0.000 0.441
```

Results
Calculated density: 9.7 g/cm3
Uncorrected energy: -4.43 eV per atom



[2]
An optimized crystal structure of Ti6MoRu5, computed with PBE.

POSCAR file:
```
Ti6MoRu5
1.0
-2.182 3.094 6.575
2.182 -3.094 6.575
2.182 3.094 -6.575
Ti Mo Ru
6 1 5
direct
0.084 0.334 0.750
0.250 0.000 0.250
0.417 0.666 0.750
0.583 0.334 0.250
0.750 0.000 0.750
0.916 0.666 0.250
0.500 0.500 0.000
0.000 0.500 0.500
0.167 0.167 0.000
0.331 0.831 0.500
0.669 0.169 0.500
0.833 0.833 0.000
```

Results
Calculated density: 8.3 g/cm3
Uncorrected energy: -9.38 eV per atom



[3]
An optimized crystal structure of Al13V2, computed with PBE.

POSCAR file:
```
Al13V2
1.0
5.409 0.000 0.000
-1.332 5.501 0.000
-1.069 -3.107 8.161
Al V
13 2
direct
0.000 0.000 0.000
0.035 0.442 0.636
0.215 0.681 0.128
0.283 0.303 0.868
0.344 0.947 0.598
0.466 0.816 0.862
0.472 0.561 0.373
0.528 0.439 0.627
0.534 0.184 0.138
0.656 0.053 0.402
0.717 0.697 0.132
0.785 0.319 0.872
0.965 0.558 0.364
0.142 0.110 0.344
0.858 0.890 0.656
```

Results
Calculated density: 3.1 g/cm3
Uncorrected energy: -4.45 eV per atom



[4]
An optimized crystal structure of Cu2AsIr, computed with PBE.

POSCAR file:
```
Cu2AsIr
1.0
6.056 0.000 0.000
0.000 6.056 0.000
0.000 0.000 6.056
Cu As Ir
8 4 4
direct
0.000 0.000 0.000
0.000 0.500 0.500
0.250 0.250 0.250
0.250 0.750 0.750
0.500 0.000 0.500
0.500 0.500 0.000
0.750 0.250 0.750
0.750 0.750 0.250
0.250 0.250 0.750
0.250 0.750 0.250
0.750 0.250 0.250
0.750 0.750 0.750
0.000 0.000 0.500
0.000 0.500 0.000
0.500 0.000 0.000
0.500 0.500 0.500
```

Results
Calculated density: 11.8 g/cm3
Uncorrected energy: -5.29 eV per atom



[5]
An optimized crystal structure of HfRePtRh2, computed with PBE.

POSCAR file:
```
HfRePtRh2
1.0
4.753 0.000 0.000
0.000 4.753 0.000
0.000 0.000 4.824
Hf Re Pt Rh
1 1 1 2
direct
0.000 0.000 0.000
0.500 0.500 0.000
0.000 0.000 0.500
0.000 0.500 0.500
0.500 0.000 0.500
```

Results
Calculated density: 11.7 g/cm3
Uncorrected energy: -7.09 eV per atom



[6]
An optimized crystal structure of Pm8RuPb2, computed with PBE.

POSCAR file:
```
Pm8RuPb2
1.0
9.795 -2.486 0.000
9.795 2.486 0.000
-1.420 0.000 6.983
Pm Ru Pb
8 1 2
direct
0.010 0.010 0.279
0.216 0.216 0.833
0.359 0.359 0.482
0.408 0.408 0.011
0.592 0.592 0.989
0.641 0.641 0.518
0.784 0.784 0.167
0.990 0.990 0.721
0.500 0.500 0.500
0.181 0.181 0.269
0.819 0.819 0.731
```

Results
Calculated density: 8.2 g/cm3
Uncorrected energy: -5.24 eV per atom